# 1
# TePIr3

A geometry-optimized TePIr3 structure (GGA-PBE, Alexandria).

Output
relative energy among the computed polymorphs: 1354.9 meV per atom
crystal system: cubic

Cell and atoms, written as CIF:
```
data_TePIr3
_cell_length_a 4.846
_cell_length_b 4.846
_cell_length_c 4.846
_cell_angle_alpha 90.00
_cell_angle_beta 90.00
_cell_angle_gamma 90.00
_symmetry_space_group_name_H-M 'P m -3 m'
_symmetry_Int_Tables_number 221
_symmetry_space_group_name_Hall '-P 4 2 3'
loop_
_atom_site_label
_atom_site_type_symbol
_atom_site_fract_x
_atom_site_fract_y
_atom_site_fract_z
_atom_site_occupancy
Te1 Te 0.000 0.000 0.000 1
P1 P 0.500 0.500 0.500 1
Ir1 Ir 0.000 0.000 0.500 1
```

***

# 2
# TePIr2

A geometry-optimized TePIr2 structure (GGA-PBE, Alexandria).

Output
relative energy among the computed polymorphs: 715.3 meV per atom
crystal system: tetragonal

Cell and atoms, written as CIF:
```
data_TePIr2
_cell_length_a 4.295
_cell_length_b 4.295
_cell_length_c 3.590
_cell_angle_alpha 90.00
_cell_angle_beta 90.00
_cell_angle_gamma 90.00
_symmetry_space_group_name_H-M 'P 4/m m m'
_symmetry_Int_Tables_number 123
_symmetry_space_group_name_Hall '-P 4 2'
loop_
_atom_site_label
_atom_site_type_symbol
_atom_site_fract_x
_atom_site_fract_y
_atom_site_fract_z
_atom_site_occupancy
Te1 Te 0.000 0.000 0.000 1
P1 P 0.500 0.500 0.000 1
Ir1 Ir 0.000 0.500 0.500 1
```

***

# 3
# Te2PIr

A geometry-optimized Te2PIr structure (GGA-PBE, Alexandria).

Output
crystal system: tetragonal

Cell and atoms, written as CIF:
```
data_Te2PIr
_cell_length_a 3.450
_cell_length_b 3.450
_cell_length_c 7.834
_cell_angle_alpha 90.00
_cell_angle_beta 90.00
_cell_angle_gamma 90.00
_symmetry_space_group_name_H-M 'P 4 m m'
_symmetry_Int_Tables_number 99
loop_
_symmetry_equiv_pos_as_xyz
'x,y,z'
'-y,x,z'
'-x,-y,z'
'y,-x,z'
'-x,y,z'
'y,x,z'
'x,-y,z'
'-y,-x,z'
loop_
_atom_site_label
_atom_site_type_symbol
_atom_site_fract_x
_atom_site_fract_y
_atom_site_fract_z
_atom_site_occupancy
Te1 Te 0.000 0.000 0.000 1
Te2 Te 0.500 0.500 0.410 1
P1 P 0.500 0.500 0.741 1
Ir1 Ir 0.000 0.000 0.663 1
```

***

Number 1: D(E_F) 2.096 states/eV per atom, total DFT energy (no corrections) -5.053 eV/atom. Number 2: D(E_F) 0.983 states/eV per atom, total DFT energy (no corrections) -6.082 eV/atom. Number 3: D(E_F) 0.345 states/eV per atom, total DFT energy (no corrections) -4.866 eV/atom.